DFT (PBE-GGA) results for a relaxed structure of ScSnRu3.

Unit cell a=4.791 b=4.791 c=4.791 alpha=90.00 beta=90.00 gamma=90.00
Space group Pm-3m (No. 221)
Unique sites:
Sc1 0.000 0.000 0.000
Sn1 0.500 0.500 0.500
Ru1 0.000 0.500 0.500

The calculation puts the formation energy at 1215 meV/atom. Its crystal system is cubic.